YSiO2F: optimized geometry, PBE-GGA.

Summary:
For the raw formation energy, the calculation gives -1.885 eV per atom. Its crystal system is tetragonal.

abc: 3.7238 3.7238 4.3932
angles: 90.00 90.00 90.00
Fractional positions:
Y (0.0000, 0.0000, 0.0000)
Si (0.5000, 0.5000, 0.5000)
O (0.0000, 0.5000, 0.5000)
O (0.5000, 0.0000, 0.5000)
F (0.5000, 0.5000, 0.0000)